## RbScGeTe3 (GGA-PBE)

Data for crystalline RbScGeTe3 at its relaxed geometry.

The total energy is -0.16284 hartree per atom. For the uncorrected formation energy, the calculation gives -506 kJ/mol of formula units. The size of the total moment is 0.0 μB per formula unit.

It has space group P2_1/m (No. 11), with a = 9.419 Å, b = 4.204 Å, c = 11.667 Å, α = 90.00°, β = 112.32° and γ = 90.00°. Symmetry generates all atoms from Rb at (0.226, 0.250, 0.275), Sc at (0.370, 0.750, 0.845), Ge at (0.118, 0.250, 0.554), Te at (0.128, 0.250, 0.788), Te at (0.330, 0.750, 0.578) and Te at (0.398, 0.750, 0.103).